# LiNdW2O8, optimized geometry, DFT GGA+U
# - Calculated volume: 323.4 Å³/cell
# - Relative energy among the computed polymorphs: 0.79 eV per formula unit
data_LiNdW2O8
_symmetry_space_group_name_H-M 'I -4'
_symmetry_Int_Tables_number 82
_cell_length_a 5.330
_cell_length_b 5.330
_cell_length_c 11.384
_cell_angle_alpha 90.00
_cell_angle_beta 90.00
_cell_angle_gamma 90.00
loop_
_symmetry_equiv_pos_as_xyz
'x,y,z'
'y,-x,-z'
'-x,-y,z'
'-y,x,-z'
'x+1/2,y+1/2,z+1/2'
'y+1/2,-x+1/2,-z+1/2'
'-x+1/2,-y+1/2,z+1/2'
'-y+1/2,x+1/2,-z+1/2'
loop_
_atom_site_label
_atom_site_type_symbol
_atom_site_fract_x
_atom_site_fract_y
_atom_site_fract_z
Li1 Li 0.000 0.000 0.000
Nd1 Nd 0.000 0.500 0.250
W1 W 0.000 0.000 0.500
W2 W 0.000 0.500 0.750
O1 O 0.156 0.239 0.411
O2 O 0.157 0.743 0.837